Record 1
Below is crystalline TlHg2Ir at its relaxed geometry, with properties calculated at the PBE-GGA level.

abc: 4.871 3.396 5.758
angles: 68.85 90.00 90.00
Fractional positions:
Ir 0.500 0.250 0.250
Hg 0.000 0.369 0.478
Tl 0.500 0.750 0.750
Hg 0.000 0.131 0.022

Final energy   -2.52 eV per atom
Size of the total moment   0.000 μB/f.u.
Formation enthalpy at 0 K   0.44 eV/atom
Crystal system   monoclinic
DOS at the Fermi energy   0.403 states/eV/atom
Excess energy over the best structure of this formula in the dataset   0.1647 eV/atom
Volume   22.20 Å³/atom

Record 2
Below is crystalline TbDy2Pb at its relaxed geometry, with properties calculated at the PBE-GGA level.

abc: 4.853 4.858 4.858
angles: 90.00 90.00 90.00
Fractional positions:
Tb 0.500 0.500 0.500
Dy 0.000 0.500 0.000
Pb 0.500 0.000 0.000
Dy 0.000 0.000 0.500

Final energy   -4.67 eV per atom
Size of the total moment   0.000 μB/f.u.
Formation enthalpy at 0 K   -0.28 eV/atom
Crystal system   tetragonal
DOS at the Fermi energy   1.172 states/eV/atom
Excess energy over the best structure of this formula in the dataset   0.0000 eV/atom
Volume   28.63 Å³/atom

Record 3
Below is crystalline Li3ErAu2 at its relaxed geometry, with properties calculated at the PBE-GGA level.

abc: 4.017 7.487 9.135
angles: 122.71 90.00 105.56
Fractional positions:
Li 0.266 0.533 0.415
Li 0.734 0.467 0.585
Li 0.427 0.853 0.312
Au 0.207 0.413 0.766
Au 0.575 0.150 0.210
Au 0.425 0.850 0.790
Li 0.573 0.147 0.688
Er 0.878 0.756 0.002
Li 0.930 0.859 0.583
Li 0.070 0.141 0.417
Er 0.122 0.244 0.998
Au 0.793 0.587 0.234

Final energy   -3.34 eV per atom
Size of the total moment   0.000 μB/f.u.
Formation enthalpy at 0 K   -0.53 eV/atom
Crystal system   monoclinic
DOS at the Fermi energy   0.469 states/eV/atom
Volume   18.26 Å³/atom

Record 4
Below is crystalline Tb6Nd2DyEr at its relaxed geometry, with properties calculated at the PBE-GGA level.

abc: 9.719 8.799 8.799
angles: 118.15 94.56 94.56
Fractional positions:
Nd 0.458 0.806 0.702
Tb 0.688 0.020 0.575
Nd 0.958 0.702 0.806
Tb 0.557 0.746 0.125
Tb 0.880 0.292 0.503
Nd 0.542 0.194 0.298
Tb 0.620 0.497 0.708
Dy 0.750 0.018 0.982
Er 0.750 0.593 0.407
Tb 0.380 0.503 0.292
Tb 0.188 0.575 0.020
Tb 0.943 0.875 0.254
Tb 0.120 0.708 0.497
Dy 0.250 0.982 0.018
Tb 0.812 0.425 0.980
Er 0.250 0.407 0.593
Tb 0.312 0.980 0.425
Tb 0.057 0.125 0.746
Tb 0.443 0.254 0.875
Nd 0.042 0.298 0.194

Final energy   -4.53 eV per atom
Size of the total moment   0.000 μB/f.u.
Formation enthalpy at 0 K   0.12 eV/atom
Crystal system   monoclinic
DOS at the Fermi energy   1.375 states/eV/atom
Volume   32.77 Å³/atom

Record 5
Below is crystalline FeRh3S at its relaxed geometry, with properties calculated at the PBE-GGA level.

abc: 4.344 4.344 4.344
angles: 90.00 90.00 90.00
Fractional positions:
Rh 0.000 0.000 0.500
Rh 0.000 0.500 0.000
S 0.000 0.000 0.000
Fe 0.500 0.500 0.500
Rh 0.500 0.000 0.000

Final energy   -6.56 eV per atom
Size of the total moment   4.219 μB/f.u.
Crystal system   cubic
DOS at the Fermi energy   2.411 states/eV/atom
Excess energy over the best structure of this formula in the dataset   0.0000 eV/atom
Formation energy (no corrections)   1.827 eV per formula unit
Volume   16.40 Å³/atom

Record 6
Below is crystalline Sm2CdGe3Rh4 at its relaxed geometry, with properties calculated at the PBE-GGA level.

abc: 4.183 4.183 10.805
angles: 90.00 90.00 90.00
Fractional positions:
Ge 0.000 0.500 0.124
Rh 0.500 0.000 0.652
Sm 0.000 0.500 0.756
Ge 0.500 0.000 0.876
Rh 0.000 0.000 0.000
Sm 0.500 0.000 0.244
Ge 0.000 0.000 0.500
Rh 0.000 0.500 0.348
Rh 0.500 0.500 0.000
Cd 0.500 0.500 0.500

Final energy   -6.10 eV per atom
Size of the total moment   0.000 μB/f.u.
Formation enthalpy at 0 K   -0.74 eV/atom
Crystal system   tetragonal
DOS at the Fermi energy   0.724 states/eV/atom
Volume   18.91 Å³/atom